one.
# LiScH3, relaxed, DFT GGA-PBE
# SG = R3m (160)
# Crystal system = trigonal
data_LiScH3
_cell_length_a 3.7898
_cell_length_b 3.7901
_cell_length_c 3.7903
_cell_angle_alpha 91.38
_cell_angle_beta 91.38
_cell_angle_gamma 91.38
_symmetry_space_group_name_H-M 'P 1'
_symmetry_Int_Tables_number 1
loop_
_symmetry_equiv_pos_as_xyz
'x,y,z'
loop_
_atom_site_label
_atom_site_type_symbol
_atom_site_fract_x
_atom_site_fract_y
_atom_site_fract_z
_atom_site_occupancy
H1 H 0.6198 0.6198 0.0454 1
H2 H 0.0454 0.6198 0.6198 1
H3 H 0.6198 0.0454 0.6198 1
Li1 Li 0.9836 0.9835 0.9835 1
Sc1 Sc 0.5385 0.5385 0.5385 1


two.
# LiScH3, relaxed, DFT GGA-PBE
# SG = Pm-3m (221)
# Crystal system = cubic
data_LiScH3
_cell_length_a 3.3906
_cell_length_b 3.3906
_cell_length_c 3.3906
_cell_angle_alpha 90.00
_cell_angle_beta 90.00
_cell_angle_gamma 90.00
_symmetry_space_group_name_H-M 'P 1'
_symmetry_Int_Tables_number 1
loop_
_symmetry_equiv_pos_as_xyz
'x,y,z'
loop_
_atom_site_label
_atom_site_type_symbol
_atom_site_fract_x
_atom_site_fract_y
_atom_site_fract_z
_atom_site_occupancy
Sc1 Sc 0.5000 0.5000 0.5000 1
H1 H 0.0000 0.0000 0.5000 1
H2 H 0.0000 0.5000 0.0000 1
H3 H 0.5000 0.0000 0.0000 1
Li1 Li 0.0000 0.0000 0.0000 1


Computed energies relative to the best structure, in meV per atom: one 9; two 0


one.
# LiScH, relaxed, DFT GGA-PBE
# SG = P-3m1 (164)
# Crystal system = trigonal
data_LiScH
_cell_length_a 3.1192
_cell_length_b 3.1192
_cell_length_c 10.8048
_cell_angle_alpha 90.00
_cell_angle_beta 90.00
_cell_angle_gamma 120.00
_symmetry_space_group_name_H-M 'P 1'
_symmetry_Int_Tables_number 1
loop_
_symmetry_equiv_pos_as_xyz
'x,y,z'
loop_
_atom_site_label
_atom_site_type_symbol
_atom_site_fract_x
_atom_site_fract_y
_atom_site_fract_z
_atom_site_occupancy
Sc1 Sc 0.6667 0.3333 0.6194 1
Sc2 Sc 0.3333 0.6667 0.3806 1
H1 H 0.6667 0.3333 0.2678 1
H2 H 0.3333 0.6667 0.7322 1
Li1 Li 0.3333 0.6667 0.1157 1
Li2 Li 0.6667 0.3333 0.8843 1


two.
# LiScH, relaxed, DFT GGA-PBE
# SG = P3m1 (156)
# Crystal system = trigonal
data_LiScH
_cell_length_a 3.1340
_cell_length_b 3.1340
_cell_length_c 5.2998
_cell_angle_alpha 90.00
_cell_angle_beta 90.00
_cell_angle_gamma 120.00
_symmetry_space_group_name_H-M 'P 1'
_symmetry_Int_Tables_number 1
loop_
_symmetry_equiv_pos_as_xyz
'x,y,z'
loop_
_atom_site_label
_atom_site_type_symbol
_atom_site_fract_x
_atom_site_fract_y
_atom_site_fract_z
_atom_site_occupancy
Li1 Li 0.0000 0.0000 0.9297 1
H1 H 0.3333 0.6667 0.6423 1
Sc1 Sc 0.6667 0.3333 0.4280 1


Computed energies relative to the best structure, in meV per atom: one 0; two 32